RbTl3In3: relaxed, PBE.

a = 7.430 Å, b = 7.430 Å, c = 11.183 Å
α = 70.60°, β = 70.60°, γ = 60.00°
Fractional positions:
Tl 0.293 0.176 0.766
Rb 0.309 0.309 0.073
In 0.411 0.242 0.422
In 0.758 0.074 0.578
Tl 0.707 0.824 0.234
Tl 0.235 0.707 0.234
Tl 0.176 0.765 0.766
In 0.242 0.926 0.422
Rb 0.691 0.691 0.927
In 0.589 0.758 0.578
Tl 0.824 0.235 0.234
In 0.926 0.411 0.422
Tl 0.765 0.293 0.766
In 0.074 0.589 0.578

Values from the calculation:
formation energy	-0.02	eV/atom
crystal system	trigonal
ΔE to the lowest computed polymorph	0.039	eV/f.u.
electronic total energy	-2.3505	eV/atom